Record 1
A relaxed structure of ScCuGe2. Source: the Open Quantum Materials Database, functional PBE.

a = 4.633 Å, b = 4.633 Å, c = 4.633 Å
α = 60.00°, β = 60.00°, γ = 60.00°
Positions (direct):
1 Ge 0.750 0.750 0.750
2 Ge 0.000 0.000 0.000
3 Sc 0.500 0.500 0.500
4 Cu 0.250 0.250 0.250

- Theoretical density: 5.991 g cm⁻³
- Total DFT energy (no corrections): -4.89 eV/atom
- SG: F-43m, No. 216
- Crystal system: cubic


Record 2
A relaxed structure of ScCuGeTeSe2. Source: the Open Quantum Materials Database, functional PBE.

a = 6.984 Å, b = 6.984 Å, c = 10.579 Å
α = 90.00°, β = 90.00°, γ = 148.02°
Positions (direct):
1 Cu 0.532 0.468 0.250
2 Cu 0.468 0.532 0.750
3 Sc 0.000 0.000 0.000
4 Sc 0.000 0.000 0.500
5 Te 0.101 0.899 0.750
6 Te 0.899 0.101 0.250
7 Ge 0.191 0.809 0.250
8 Ge 0.809 0.191 0.750
9 Se 0.363 0.637 0.939
10 Se 0.637 0.363 0.061
11 Se 0.363 0.637 0.561
12 Se 0.637 0.363 0.439

- Theoretical density: 5.671 g cm⁻³
- Total DFT energy (no corrections): -4.80 eV/atom
- SG: Cmcm, No. 63
- Crystal system: orthorhombic


Record 3
A relaxed structure of Sc3Cu4Si2Ge2. Source: the Open Quantum Materials Database, functional PBE.

a = 7.644 Å, b = 7.644 Å, c = 7.644 Å
α = 149.87°, β = 129.74°, γ = 59.73°
Positions (direct):
1 Si 0.783 0.283 0.500
2 Si 0.217 0.717 0.500
3 Sc 0.627 0.627 0.000
4 Sc 0.373 0.373 0.000
5 Sc 0.000 0.500 0.500
6 Cu 0.982 0.176 0.806
7 Cu 0.370 0.176 0.194
8 Cu 0.630 0.824 0.806
9 Cu 0.018 0.824 0.194
10 Ge 0.305 0.000 0.305
11 Ge 0.695 0.000 0.695

- Energy above the most stable polymorph in this dataset: 0.00 eV/f.u.
- Theoretical density: 5.732 g cm⁻³
- SG: Immm, No. 71
- Crystal system: orthorhombic


Record 4
A relaxed structure of Sc3Cu3Si2Ge. Source: the Open Quantum Materials Database, functional PBE.

a = 6.461 Å, b = 6.461 Å, c = 3.981 Å
α = 90.00°, β = 90.00°, γ = 120.00°
Positions (direct):
1 Cu 0.749 0.749 0.500
2 Cu 0.000 0.251 0.500
3 Cu 0.251 0.000 0.500
4 Sc 0.430 0.430 0.000
5 Sc 0.000 0.570 0.000
6 Sc 0.570 0.000 0.000
7 Ge 0.000 0.000 0.000
8 Si 0.667 0.333 0.500
9 Si 0.333 0.667 0.500

- Theoretical density: 5.242 g cm⁻³
- Total DFT energy (no corrections): -5.73 eV/atom
- SG: P-62m, No. 189
- Crystal system: hexagonal


Record 5
A relaxed structure of Sc3Cu4Si2Ge2. Source: the Open Quantum Materials Database, functional PBE.

a = 7.650 Å, b = 7.650 Å, c = 7.650 Å
α = 149.62°, β = 129.84°, γ = 59.77°
Positions (direct):
1 Sc 0.500 0.500 0.000
2 Sc 0.874 0.374 0.500
3 Sc 0.126 0.626 0.500
4 Ge 0.717 0.717 0.000
5 Ge 0.283 0.283 0.000
6 Si 0.185 0.000 0.185
7 Si 0.815 0.000 0.815
8 Cu 0.528 0.834 0.694
9 Cu 0.139 0.834 0.306
10 Cu 0.472 0.166 0.306
11 Cu 0.861 0.166 0.694

- Energy above the most stable polymorph in this dataset: 0.26 eV/f.u.
- Theoretical density: 5.686 g cm⁻³
- SG: Immm, No. 71
- Crystal system: orthorhombic


Record 6
A relaxed structure of Tm2ScCu4Si2Ge2. Source: the Open Quantum Materials Database, functional PBE.

a = 7.805 Å, b = 7.805 Å, c = 7.805 Å
α = 149.69°, β = 130.88°, γ = 58.81°
Positions (direct):
1 Tm 0.371 0.871 0.500
2 Tm 0.629 0.129 0.500
3 Ge 0.700 0.500 0.200
4 Ge 0.300 0.500 0.800
5 Cu 0.367 0.674 0.692
6 Cu 0.018 0.326 0.692
7 Cu 0.633 0.326 0.308
8 Cu 0.982 0.674 0.308
9 Si 0.786 0.786 0.000
10 Si 0.214 0.214 0.000
11 Sc 0.000 0.000 0.000

- Energy above the most stable polymorph in this dataset: 0.00 eV/f.u.
- Theoretical density: 7.734 g cm⁻³
- SG: Immm, No. 71
- Crystal system: orthorhombic


Question: What is the theoretical density in the second record?
Answer: 5.671 g cm⁻³


Question: Which of these has the highest theoretical density?
Answer: Tm2ScCu4Si2Ge2


Question: theoretical density of number 5 (Sc3Cu4Si2Ge2)?
Answer: 5.686 g cm⁻³


Please write out number 5 again, unchanged.
A relaxed structure of Sc3Cu4Si2Ge2. Source: the Open Quantum Materials Database, functional PBE.

a = 7.650 Å, b = 7.650 Å, c = 7.650 Å
α = 149.62°, β = 129.84°, γ = 59.77°
Positions (direct):
1 Sc 0.500 0.500 0.000
2 Sc 0.874 0.374 0.500
3 Sc 0.126 0.626 0.500
4 Ge 0.717 0.717 0.000
5 Ge 0.283 0.283 0.000
6 Si 0.185 0.000 0.185
7 Si 0.815 0.000 0.815
8 Cu 0.528 0.834 0.694
9 Cu 0.139 0.834 0.306
10 Cu 0.472 0.166 0.306
11 Cu 0.861 0.166 0.694

- Energy above the most stable polymorph in this dataset: 0.26 eV/f.u.
- Theoretical density: 5.686 g cm⁻³
- SG: Immm, No. 71
- Crystal system: orthorhombic